# NiMoRh4

An optimized crystal structure of NiMoRh4 (PBE-GGA, Alexandria via LeMat-Bulk).

a = 5.0310 Å, b = 5.0310 Å, c = 5.0310 Å
α = 60.00°, β = 60.00°, γ = 60.00°
Last column: nearest neighbours and their distance in Å.
Atoms (fractional coordinates):
Ni1 0.0000 0.0000 0.0000  12 Rh 2.95, 4 Mo 3.08
Mo1 0.2500 0.2500 0.2500  12 Rh 2.95, 4 Ni 3.08
Rh1 0.6253 0.6253 0.1241  6 Rh 2.51-2.52
Rh2 0.6253 0.1241 0.6253  6 Rh 2.51-2.52
Rh3 0.6253 0.6253 0.6253  6 Rh 2.51-2.52
Rh4 0.1241 0.6253 0.6253  6 Rh 2.51-2.52

Computed properties:
Energy of formation ... 0.32 eV/atom
Total moment ... 0.730 μB/f.u.
Space-group type ... F-43m, No. 216
Polymorph energy (0 for the lowest one) ... 387 meV per atom

# NiMoRh4

An optimized crystal structure of NiMoRh4 (PBE-GGA, Alexandria via LeMat-Bulk).

a = 6.8553 Å, b = 5.2068 Å, c = 4.7418 Å
α = 90.00°, β = 90.00°, γ = 96.18°
Last column: nearest neighbours and their distance in Å.
Atoms (fractional coordinates):
Ni1 0.5000 0.2500 0.0855  10 Rh 2.64-2.74, 2 Ni 2.73
Ni2 0.5000 0.7500 0.9145  10 Rh 2.64-2.74, 2 Ni 2.73
Mo1 0.0000 0.2500 0.4142  10 Rh 2.66-2.75, 2 Mo 2.73
Mo2 0.0000 0.7500 0.5858  10 Rh 2.66-2.75, 2 Mo 2.73
Rh1 0.1706 0.4187 0.9161  2 Ni 2.64-2.69, 7 Rh 2.66-2.77, 3 Mo 2.69-2.75
Rh2 0.3337 0.0867 0.5898  7 Rh 2.66-2.75, 2 Mo 2.66-2.73, 3 Ni 2.68-2.74
Rh3 0.8294 0.0813 0.9161  2 Ni 2.64-2.69, 7 Rh 2.66-2.77, 3 Mo 2.69-2.75
Rh4 0.6663 0.9133 0.4102  7 Rh 2.66-2.75, 2 Mo 2.66-2.73, 3 Ni 2.68-2.74
Rh5 0.6663 0.4133 0.5898  7 Rh 2.66-2.75, 2 Mo 2.66-2.73, 3 Ni 2.68-2.74
Rh6 0.1706 0.9187 0.0839  2 Ni 2.64-2.69, 7 Rh 2.66-2.77, 3 Mo 2.69-2.75
Rh7 0.3337 0.5867 0.4102  7 Rh 2.66-2.75, 2 Mo 2.66-2.73, 3 Ni 2.68-2.74
Rh8 0.8294 0.5813 0.0839  2 Ni 2.64-2.69, 7 Rh 2.66-2.77, 3 Mo 2.69-2.75

Computed properties:
Energy of formation ... -0.07 eV/atom
Total moment ... 0.000 μB/f.u.
Space-group type ... P2/c, No. 13
Polymorph energy (0 for the lowest one) ... 7 meV per atom

# NiMoRh2

An optimized crystal structure of NiMoRh2 (PBE-GGA, Alexandria via LeMat-Bulk).

a = 4.6363 Å, b = 4.6363 Å, c = 2.7250 Å
α = 90.00°, β = 90.00°, γ = 108.26°
Last column: nearest neighbours and their distance in Å.
Atoms (fractional coordinates):
Mo1 0.5000 0.0000 0.5000  8 Rh 2.69, 2 Ni 2.72, 2 Mo 2.73
Ni1 0.0000 0.5000 0.5000  8 Rh 2.69, 2 Mo 2.72, 2 Ni 2.73
Rh1 0.0000 0.0000 0.0000  4 Mo 2.69, 4 Ni 2.69, 4 Rh 2.72-2.73
Rh2 0.5000 0.5000 0.0000  4 Ni 2.69, 4 Mo 2.69, 4 Rh 2.72-2.73

Computed properties:
Energy of formation ... -0.03 eV/atom
Total moment ... 0.001 μB/f.u.
Space-group type ... Cmmm, No. 65
Polymorph energy (0 for the lowest one) ... 186 meV per atom

# Ni6Mo2Rh

An optimized crystal structure of Ni6Mo2Rh (PBE-GGA, Alexandria via LeMat-Bulk).

a = 3.6345 Å, b = 4.5065 Å, c = 7.7830 Å
α = 107.46°, β = 90.00°, γ = 113.78°
Last column: nearest neighbours and their distance in Å.
Atoms (fractional coordinates):
Ni1 0.3333 0.6666 0.9460  3 Mo 2.52, 9 Ni 2.55-2.60
Ni2 0.6667 0.3334 0.0540  3 Mo 2.52, 9 Ni 2.55-2.60
Ni3 0.9978 0.9956 0.1635  8 Ni 2.55-2.60, 3 Mo 2.56-2.59, 1 Rh 2.61
Ni4 0.6660 0.3320 0.3846  5 Ni 2.57-2.61, 4 Mo 2.58-2.69, 3 Rh 2.60-2.61
Ni5 0.0022 0.0044 0.8365  8 Ni 2.55-2.60, 3 Mo 2.56-2.59, 1 Rh 2.61
Ni6 0.3340 0.6680 0.6154  5 Ni 2.57-2.61, 4 Mo 2.58-2.69, 3 Rh 2.60-2.61
Mo1 0.6741 0.3483 0.7324  10 Ni 2.52-2.69, 2 Rh 2.63
Mo2 0.3259 0.6517 0.2676  10 Ni 2.52-2.69, 2 Rh 2.63
Rh1 0.0000 0.0000 0.5000  8 Ni 2.60-2.61, 4 Mo 2.63

Computed properties:
Energy of formation ... -0.09 eV/atom
Total moment ... 0.000 μB/f.u.
Space-group type ... C2/m, No. 12

# NiMo2Rh6

An optimized crystal structure of NiMo2Rh6 (PBE-GGA, Alexandria via LeMat-Bulk).

a = 2.7293 Å, b = 7.1176 Å, c = 7.8707 Å
α = 116.88°, β = 99.99°, γ = 90.00°
Last column: nearest neighbours and their distance in Å.
Atoms (fractional coordinates):
Ni1 0.0000 0.5000 0.0000  4 Rh 2.62, 2 Ni 2.73
Mo1 0.1403 0.1403 0.2806  10 Rh 2.70-2.82, 2 Mo 2.73
Mo2 0.8597 0.8597 0.7194  10 Rh 2.70-2.82, 2 Mo 2.73
Rh1 0.3224 0.5035 0.6447  6 Rh 2.58-2.73, 3 Mo 2.70-2.82
Rh2 0.6776 0.4965 0.3553  6 Rh 2.58-2.73, 3 Mo 2.70-2.82
Rh3 0.6776 0.8588 0.3553  6 Rh 2.58-2.73, 3 Mo 2.70-2.82
Rh4 0.5000 0.1859 0.0000  2 Ni 2.62, 5 Rh 2.62-2.73, 4 Mo 2.71
Rh5 0.5000 0.8141 0.0000  2 Ni 2.62, 5 Rh 2.62-2.73, 4 Mo 2.71
Rh6 0.3224 0.1412 0.6447  6 Rh 2.58-2.73, 3 Mo 2.70-2.82

Computed properties:
Energy of formation ... 0.08 eV/atom
Total moment ... 0.002 μB/f.u.
Space-group type ... Immm, No. 71
Polymorph energy (0 for the lowest one) ... 233 meV per atom

# NiMoRh2

An optimized crystal structure of NiMoRh2 (PBE-GGA, Alexandria via LeMat-Bulk).

a = 4.6698 Å, b = 4.6698 Å, c = 4.6409 Å
α = 80.16°, β = 80.16°, γ = 33.94°
Last column: nearest neighbours and their distance in Å.
Atoms (fractional coordinates):
Mo1 0.5025 0.5025 0.5004  7 Rh 2.63-2.74, 3 Ni 2.69-2.73, 2 Mo 2.73
Ni1 0.2503 0.2503 0.2455  7 Rh 2.66-2.72, 3 Mo 2.69-2.73, 2 Ni 2.73
Rh1 0.9987 0.9987 0.0138  4 Mo 2.64-2.74, 3 Ni 2.66, 5 Rh 2.73-2.76
Rh2 0.7484 0.7484 0.7402  3 Mo 2.63-2.71, 4 Ni 2.67-2.72, 5 Rh 2.73-2.76

Computed properties:
Energy of formation ... -0.03 eV/atom
Total moment ... 0.003 μB/f.u.
Space-group type ... Cm, No. 8
Polymorph energy (0 for the lowest one) ... 183 meV per atom